No. 1
The following is a DFT calculation (PBE) of crystalline CeDyHo2Tm5 at its relaxed geometry.

```
CeDyHo2Tm5
1.0
5.620 0.000 0.000
-2.810 10.608 0.000
0.000 0.000 9.466
Tm Dy Ho Ce
10 2 4 2
Cartesian
0.000 5.649 3.160
0.000 10.001 7.053
2.810 4.959 7.893
0.000 0.298 0.128
2.810 4.095 2.034
0.000 8.364 0.400
2.810 2.244 5.133
0.000 6.514 6.767
2.810 10.310 4.861
2.810 0.607 2.320
0.000 8.556 4.037
2.810 2.052 8.770
2.810 7.752 1.950
2.810 8.210 7.775
0.000 2.398 3.043
0.000 2.857 6.683
2.810 6.518 4.926
0.000 4.091 0.193
```

Calculated total energy: -81.0 eV for the cell shown
ρ: 8.69 g cm⁻³
Total magnetization: 0.60 μB/f.u.
E_form: 175 meV/atom

***

No. 2
The following is a DFT calculation (PBE) of crystalline CeDy4Ho2Tm at its relaxed geometry.

```
CeDy4Ho2Tm
1.0
-2.288 -0.619 2.609
3.796 -4.168 2.340
6.308 6.781 7.142
Dy Ho Ce Tm
4 2 1 1
Cartesian
7.571 1.972 7.108
4.547 3.717 7.251
0.245 0.023 4.983
3.270 -1.722 4.840
6.308 6.781 7.142
2.010 3.081 4.875
5.052 1.307 4.741
0.754 -2.393 2.474
```

Calculated total energy: -37.6 eV for the cell shown
ρ: 8.64 g cm⁻³
Total magnetization: 0.77 μB/f.u.
E_form: 41 meV/atom

***

No. 3
The following is a DFT calculation (PBE) of crystalline CeDy3Ho2Tm6 at its relaxed geometry.

```
CeDy3Ho2Tm6
1.0
-1.384 3.421 4.834
4.624 -3.939 0.291
6.073 8.295 -5.405
Tm Dy Ce Ho
6 3 1 2
Cartesian
7.984 4.616 -0.962
3.955 1.681 2.506
5.994 7.054 0.543
3.319 0.722 -0.823
5.359 6.095 -2.787
1.329 3.160 0.682
6.654 1.441 -1.651
2.659 6.335 1.370
4.657 3.888 -0.140
0.000 0.000 0.000
2.621 -1.486 1.805
0.619 0.967 3.320
```

Calculated total energy: -55.3 eV for the cell shown
ρ: 8.93 g cm⁻³
Total magnetization: 1.06 μB/f.u.
E_form: 37 meV/atom

***

No. 4
The following is a DFT calculation (PBE) of crystalline CeDy2Ho3Tm6 at its relaxed geometry.

```
CeDy2Ho3Tm6
1.0
6.080 0.001 0.018
-3.038 5.267 0.018
-1.046 -1.812 11.422
Tm Ce Ho Dy
6 1 3 2
Cartesian
-1.013 1.731 2.867
2.006 -0.012 2.867
-0.010 3.468 8.590
-0.031 -0.054 8.569
2.027 3.510 2.888
3.009 1.725 8.590
0.000 0.000 0.000
-2.034 3.479 5.729
0.998 1.728 5.729
4.030 -0.023 5.729
3.040 1.756 0.018
0.002 3.511 0.018
```

Calculated total energy: -55.2 eV for the cell shown
ρ: 8.95 g cm⁻³
Total magnetization: 1.05 μB/f.u.
E_form: 38 meV/atom

***

No. 5
The following is a DFT calculation (PBE) of crystalline CeDyHo5Tm2 at its relaxed geometry.

```
CeDyHo5Tm2
1.0
-1.926 5.057 1.603
-9.013 -5.711 -2.746
-0.748 -3.117 8.936
Ho Tm Dy Ce
10 4 2 2
Cartesian
-7.889 -2.641 -1.146
-11.048 -2.165 3.492
-6.634 -4.169 5.183
-5.575 -2.733 1.923
-6.233 -1.546 7.325
-0.283 -0.127 0.061
-9.953 -5.325 4.840
-4.997 0.628 1.950
-1.729 1.574 2.892
-3.488 0.160 5.242
-9.291 -2.495 6.644
-8.436 -0.453 1.227
-2.503 -1.726 2.437
-3.186 -3.053 5.803
-8.361 -3.894 2.239
-3.589 -0.975 8.700
-3.835 -1.285 -0.554
-7.510 -1.061 4.259
```

Calculated total energy: -81.6 eV for the cell shown
ρ: 8.53 g cm⁻³
Total magnetization: 0.62 μB/f.u.
E_form: 175 meV/atom

***

No. 6
The following is a DFT calculation (PBE) of crystalline CeDyHoTm3 at its relaxed geometry.

```
CeDyHoTm3
1.0
-0.772 -4.661 1.548
4.181 3.771 5.454
-8.388 2.866 4.448
Ce Tm Ho Dy
2 6 2 2
Cartesian
-6.675 -0.180 4.113
1.696 2.157 7.337
-1.655 2.398 6.394
0.867 -1.854 2.834
-5.021 2.632 5.419
-3.324 -0.422 5.056
0.042 -0.655 6.031
-5.846 3.830 8.616
-0.825 1.199 3.200
-4.154 0.777 8.250
-4.194 1.433 2.224
0.000 0.000 0.000
```

Calculated total energy: -56.4 eV for the cell shown
ρ: 8.83 g cm⁻³
Total magnetization: 1.03 μB/f.u.
E_form: 55 meV/atom

***

No. 7
The following is a DFT calculation (PBE) of crystalline CeDyHo3Tm at its relaxed geometry.

```
CeDyHo3Tm
1.0
4.987 0.000 0.000
-2.493 7.465 0.000
0.000 0.000 9.950
Ho Ce Tm Dy
6 2 2 2
Cartesian
0.000 5.004 4.973
2.493 2.461 9.948
2.493 4.968 2.487
0.000 5.004 0.002
0.000 2.497 7.462
2.493 2.461 4.976
2.493 0.003 2.487
0.000 7.462 7.462
0.000 2.493 2.487
2.493 4.972 7.462
0.000 0.000 0.000
0.000 0.000 4.975
```

Calculated total energy: -56.8 eV for the cell shown
ρ: 8.66 g cm⁻³
Total magnetization: 1.09 μB/f.u.
E_form: 55 meV/atom

***

No. 8
The following is a DFT calculation (PBE) of crystalline CeDy3Ho6Tm2 at its relaxed geometry.

```
CeDy3Ho6Tm2
1.0
-4.676 -2.898 2.635
5.657 -2.215 0.549
1.190 7.939 8.491
Ho Ce Dy Tm
6 1 3 2
Cartesian
1.033 -1.866 4.508
-1.172 0.589 3.254
3.343 2.236 8.420
2.254 0.815 2.562
1.137 4.691 7.166
-0.084 2.010 9.112
0.000 0.000 0.000
-2.351 1.185 6.531
1.085 1.412 5.837
4.521 1.640 5.143
2.212 -2.443 1.244
-1.232 -2.671 1.939
```

Calculated total energy: -55.7 eV for the cell shown
ρ: 8.75 g cm⁻³
Total magnetization: 1.12 μB/f.u.
E_form: 36 meV/atom